# 1
{"formula": "ZrInH2", "functional": "meta-GGA SCAN", "state": "single point on PBEsol structure", "total_energy_ev_per_atom": -17.442, "polymorph_energy_ev_per_atom": 0.413, "sg": "No. 225", "lattice_angstrom": [[5.768, 0.000, 0.000], [0.000, 5.768, 0.000], [0.000, 0.000, 5.768]], "species": ["Zr", "Zr", "Zr", "Zr", "In", "In", "In", "In", "H", "H", "H", "H", "H", "H", "H", "H"], "fractional_positions": [[0.000, 0.000, 0.000], [0.000, 0.500, 0.500], [0.500, 0.000, 0.500], [0.500, 0.500, 0.000], [0.000, 0.000, 0.500], [0.000, 0.500, 0.000], [0.500, 0.000, 0.000], [0.500, 0.500, 0.500], [0.250, 0.250, 0.250], [0.250, 0.250, 0.750], [0.250, 0.750, 0.250], [0.250, 0.750, 0.750], [0.750, 0.250, 0.250], [0.750, 0.250, 0.750], [0.750, 0.750, 0.250], [0.750, 0.750, 0.750]]}


# 2
{"formula": "ZrInH3", "functional": "meta-GGA SCAN", "state": "single point on PBEsol structure", "total_energy_ev_per_atom": -14.945, "sg": "No. 221", "lattice_angstrom": [[3.837, 0.000, 0.000], [0.000, 3.837, 0.000], [0.000, 0.000, 3.837]], "species": ["Zr", "In", "H", "H", "H"], "fractional_positions": [[0.000, 0.000, 0.000], [0.500, 0.500, 0.500], [0.000, 0.000, 0.500], [0.000, 0.500, 0.000], [0.500, 0.000, 0.000]]}


# 3
{"formula": "ZrInH2", "functional": "meta-GGA SCAN", "state": "single point on PBEsol structure", "total_energy_ev_per_atom": -17.855, "polymorph_energy_ev_per_atom": 0.000, "sg": "No. 122", "lattice_angstrom": [[4.415, 0.000, 0.000], [0.000, 4.415, 0.000], [0.000, 0.000, 10.858]], "species": ["Zr", "Zr", "Zr", "Zr", "In", "In", "In", "In", "H", "H", "H", "H", "H", "H", "H", "H"], "fractional_positions": [[0.000, 0.000, 0.000], [0.000, 0.500, 0.250], [0.500, 0.000, 0.750], [0.500, 0.500, 0.500], [0.000, 0.000, 0.500], [0.000, 0.500, 0.750], [0.500, 0.000, 0.250], [0.500, 0.500, 0.000], [0.157, 0.250, 0.125], [0.250, 0.657, 0.375], [0.250, 0.843, 0.875], [0.343, 0.250, 0.625], [0.657, 0.750, 0.625], [0.750, 0.157, 0.875], [0.750, 0.343, 0.375], [0.843, 0.750, 0.125]]}


# 4
{"formula": "LaTeH2Ir", "functional": "meta-GGA SCAN", "state": "single point on PBEsol structure", "total_energy_ev_per_atom": -31.731, "sg": "No. 123", "lattice_angstrom": [[4.062, 0.000, 0.000], [0.000, 4.062, 0.000], [0.000, 0.000, 5.298]], "species": ["La", "Te", "H", "H", "Ir"], "fractional_positions": [[0.000, 0.000, 0.000], [0.500, 0.500, 0.500], [0.000, 0.500, 0.500], [0.500, 0.000, 0.500], [0.500, 0.500, 0.000]]}


# 5
{"formula": "LiMgH6Ir", "functional": "meta-GGA SCAN", "state": "single point on PBEsol structure", "total_energy_ev_per_atom": -11.535, "sg": "No. 215", "lattice_angstrom": [[6.584, 0.000, 0.000], [0.000, 6.584, 0.000], [0.000, 0.000, 6.584]], "species": ["Li", "Li", "Li", "Li", "Mg", "Mg", "Mg", "Mg", "H", "H", "H", "H", "H", "H", "H", "H", "H", "H", "H", "H", "H", "H", "H", "H", "H", "H", "H", "H", "H", "H", "H", "H", "Ir", "Ir", "Ir", "Ir"], "fractional_positions": [[0.000, 0.000, 0.000], [0.000, 0.000, 0.500], [0.000, 0.500, 0.000], [0.500, 0.000, 0.000], [0.000, 0.500, 0.500], [0.500, 0.000, 0.500], [0.500, 0.500, 0.000], [0.500, 0.500, 0.500], [0.005, 0.249, 0.249], [0.005, 0.751, 0.751], [0.247, 0.247, 0.509], [0.247, 0.491, 0.753], [0.247, 0.509, 0.247], [0.247, 0.753, 0.491], [0.249, 0.005, 0.249], [0.249, 0.249, 0.005], [0.249, 0.751, 0.995], [0.249, 0.995, 0.751], [0.491, 0.247, 0.753], [0.491, 0.753, 0.247], [0.509, 0.247, 0.247], [0.509, 0.753, 0.753], [0.751, 0.005, 0.751], [0.751, 0.249, 0.995], [0.751, 0.751, 0.005], [0.751, 0.995, 0.249], [0.753, 0.247, 0.491], [0.753, 0.491, 0.247], [0.753, 0.509, 0.753], [0.753, 0.753, 0.509], [0.995, 0.249, 0.751], [0.995, 0.751, 0.249], [0.256, 0.256, 0.256], [0.256, 0.744, 0.744], [0.744, 0.256, 0.744], [0.744, 0.744, 0.256]]}


# 6
{"formula": "MgH3Ir", "functional": "meta-GGA SCAN", "state": "single point on PBEsol structure", "total_energy_ev_per_atom": -17.603, "sg": "No. 46", "lattice_angstrom": [[-2.223, 3.164, 3.060], [2.223, -3.164, 3.060], [2.223, 3.164, -3.060]], "species": ["Mg", "Mg", "H", "H", "H", "H", "H", "H", "Ir", "Ir"], "fractional_positions": [[0.171, 0.250, 0.421], [0.829, 0.750, 0.579], [0.142, 0.296, 0.879], [0.142, 0.763, 0.346], [0.417, 0.263, 0.121], [0.417, 0.796, 0.654], [0.591, 0.091, 0.500], [0.591, 0.591, 0.000], [0.554, 0.976, 0.078], [0.899, 0.476, 0.922]]}